Material: KTiS4
Method: DFT, PBE
State: optimized geometry

Cell: 8.844 8.844 5.443 Å, 92.27 92.27 127.36°
Atoms (fractional coordinates):
1 K 0.140 0.860 0.750
2 K 0.860 0.140 0.250
3 Ti 0.436 0.564 0.250
4 Ti 0.564 0.436 0.750
5 S 0.218 0.613 0.386
6 S 0.276 0.283 0.977
7 S 0.283 0.276 0.477
8 S 0.387 0.782 0.114
9 S 0.613 0.218 0.886
10 S 0.717 0.724 0.523
11 S 0.724 0.717 0.023
12 S 0.782 0.387 0.614

## Properties
Raw formation energy = -947 meV per atom